Entry 1:
VASP calculation (PBE) on a relaxed structure of MgSe2Br.

a b c (Å): 5.0109 5.0109 5.0109
angles (deg): 60.00 60.00 60.00
Atoms (fractional coordinates):
Mg 0.2500 0.2500 0.2500
Se 0.7500 0.7500 0.7500
Se 0.0000 0.0000 0.0000
Br 0.5000 0.5000 0.5000

* raw formation energy: 24 meV per atom
* DFT total energy: -10.1 eV/cell
* symmetry: F-43m
* total moment: 0.000 μB/atom
* energy relative to the lowest polymorph listed for this composition: 684 meV/atom



Entry 2:
VASP calculation (PBE) on a relaxed structure of BaCrTe2.

a b c (Å): 8.1672 8.1672 8.1672
angles (deg): 151.46 149.77 42.05
Atoms (fractional coordinates):
Ba 0.4536 0.4536 0.0000
Cr 0.2047 0.7047 0.5000
Te 0.7712 0.2712 0.5000
Te 0.0704 0.0704 0.0000

* raw formation energy: -579 meV per atom
* DFT total energy: -20.1 eV/cell
* symmetry: Imm2
* total moment: 1.000 μB/atom



Entry 3:
VASP calculation (PBE) on a relaxed structure of MgTiSe2.

a b c (Å): 8.8212 8.8212 8.8212
angles (deg): 23.15 23.15 23.15
Atoms (fractional coordinates):
Se 0.8939 0.8939 0.8939
Se 0.1061 0.1061 0.1061
Ti 0.5000 0.5000 0.5000
Mg 0.0000 0.0000 0.0000

* raw formation energy: -838 meV per atom
* DFT total energy: -19.8 eV/cell
* symmetry: R-3m
* total moment: 0.000 μB/atom



Among the records above, which one has the lowest raw formation energy?
MgTiSe2



The lowest raw formation energy belongs to which entry?
MgTiSe2



Among the records above, which one has the highest DFT total energy?
MgSe2Br



Among the records above, which one has the lowest DFT total energy?
BaCrTe2